## PrDy3Tm2Bi6 (PBE-GGA)

Data for an optimized crystal structure of PrDy3Tm2Bi6.

Cell lengths 19.5686, 4.4915, 8.9825 Å; angles 90.00, 103.25, 90.00 degrees
Last column: nearest neighbours and their distance in Å.
Space group C2/m (No. 12)
Inequivalent atoms, fractional coordinates:
Pr1 0.0000 0.0000 0.0000 [2 per cell]  6 Bi 3.22-3.24
Dy1 0.0000 0.0000 0.5000 [2 per cell]  6 Bi 3.13-3.19
Dy2 0.1647 0.5000 0.8318 [4 per cell]  6 Bi 3.15-3.19
Tm1 0.1676 0.5000 0.3336 [4 per cell]  6 Bi 3.14-3.16
Bi1 0.0019 0.5000 0.2585 [4 per cell]  3 Dy 3.13-3.17, 1 Tm 3.16, 2 Pr 3.22
Bi2 0.1673 0.0000 0.5810 [4 per cell]  3 Tm 3.14-3.16, 3 Dy 3.19
Bi3 0.1701 0.0000 0.0870 [4 per cell]  3 Dy 3.15-3.19, 2 Tm 3.16, 1 Pr 3.24

Computed properties:
Calculated volume   32.02 Å³ per atom
Magnetization   0.0 μB/cell
DOS(E_F)   0.17 states/eV/atom
Energy of formation   -0.84 eV/atom